1.
Entry from Alexandria: Pm3Y5Tm3 after structural relaxation (PBE).

Unit cell a=9.6615 b=9.6615 c=5.6334 alpha=90.00 beta=90.00 gamma=120.00
Space group P-62m (No. 189)
Symmetry-distinct sites (fractional):
Pm: 0.0000 0.5344 0.0000 (multiplicity 3)
Y: 0.0000 0.7332 0.5000 (multiplicity 3)
Y: 0.3333 0.6667 0.5000 (multiplicity 2)
Tm: 0.0000 0.3748 0.5000 (multiplicity 3)

## Properties
Its relative energy among the computed polymorphs is 430 meV per atom. For the total energy, the calculation gives -51.36 eV for the cell shown. The density of states at the Fermi level comes out at 1.520 states/eV/atom. For the mass density, the calculation gives 5.1 g/cm3.

=====

2.
Entry from Alexandria: PmY6Tm2 after structural relaxation (PBE).

Unit cell a=10.684 b=10.684 c=5.038 alpha=90.00 beta=90.00 gamma=90.00
Space group P4_2/mnm (No. 136)
Symmetry-distinct sites (fractional):
Pm: 0.000 0.000 0.000 (multiplicity 2)
Y: 0.000 0.333 0.000 (multiplicity 8)
Y: 0.167 0.167 0.500 (multiplicity 4)
Tm: 0.167 0.833 0.500 (multiplicity 4)

## Properties
Its relative energy among the computed polymorphs is 0 meV per atom. For the total energy, the calculation gives -104.52 eV for the cell shown. The density of states at the Fermi level comes out at 1.321 states/eV/atom. For the mass density, the calculation gives 5.9 g/cm3.

=====

3.
Entry from Alexandria: Pm6Y2Tm3 after structural relaxation (PBE).

Unit cell a=4.743 b=4.743 c=33.840 alpha=90.00 beta=90.00 gamma=90.00
Space group I4/mmm (No. 139)
Symmetry-distinct sites (fractional):
Pm: 0.000 0.000 0.203 (multiplicity 4)
Pm: 0.000 0.500 0.122 (multiplicity 8)
Y: 0.000 0.000 0.046 (multiplicity 4)
Tm: 0.000 0.000 0.304 (multiplicity 4)
Tm: 0.000 0.000 0.500 (multiplicity 2)

## Properties
Its relative energy among the computed polymorphs is 287 meV per atom. For the total energy, the calculation gives -103.03 eV for the cell shown. The density of states at the Fermi level comes out at 1.488 states/eV/atom. For the mass density, the calculation gives 6.8 g/cm3.

=====

4.
Entry from Alexandria: PmY2Tm after structural relaxation (PBE).

Unit cell a=3.568 b=3.568 c=10.130 alpha=90.00 beta=90.00 gamma=90.00
Space group P4/mmm (No. 123)
Symmetry-distinct sites (fractional):
Pm: 0.000 0.000 0.000 (multiplicity 1)
Y: 0.500 0.500 0.255 (multiplicity 2)
Tm: 0.000 0.000 0.500 (multiplicity 1)

## Properties
Its relative energy among the computed polymorphs is 7 meV per atom. For the total energy, the calculation gives -22.05 eV for the cell shown. The density of states at the Fermi level comes out at 1.424 states/eV/atom. For the mass density, the calculation gives 6.3 g/cm3.

=====

5.
Entry from Alexandria: Pm3Y5Tm2 after structural relaxation (PBE).

Unit cell a=10.771 b=16.049 c=9.376 alpha=90.00 beta=124.88 gamma=90.00
Space group C2/c (No. 15)
Symmetry-distinct sites (fractional):
Pm: 0.000 0.230 0.250 (multiplicity 4)
Pm: 0.144 0.126 0.046 (multiplicity 8)
Y: 0.000 0.025 0.250 (multiplicity 4)
Y: 0.000 0.274 0.750 (multiplicity 4)
Y: 0.000 0.472 0.750 (multiplicity 4)
Y: 0.240 0.382 0.233 (multiplicity 8)
Tm: 0.152 0.379 0.546 (multiplicity 8)

## Properties
Its relative energy among the computed polymorphs is 0 meV per atom. For the total energy, the calculation gives -214.54 eV for the cell shown. The density of states at the Fermi level comes out at 1.882 states/eV/atom. For the mass density, the calculation gives 6.1 g/cm3.

=====

6.
Entry from Alexandria: Pm3Y12Tm after structural relaxation (PBE).

Unit cell a=5.064 b=5.064 c=20.260 alpha=90.00 beta=90.00 gamma=90.00
Space group P4/mmm (No. 123)
Symmetry-distinct sites (fractional):
Pm: 0.000 0.000 0.000 (multiplicity 1)
Pm: 0.000 0.000 0.251 (multiplicity 2)
Y: 0.000 0.500 0.126 (multiplicity 4)
Y: 0.000 0.500 0.377 (multiplicity 4)
Y: 0.500 0.500 0.000 (multiplicity 1)
Y: 0.500 0.500 0.251 (multiplicity 2)
Y: 0.500 0.500 0.500 (multiplicity 1)
Tm: 0.000 0.000 0.500 (multiplicity 1)

## Properties
For the total energy, the calculation gives -95.93 eV for the cell shown. The density of states at the Fermi level comes out at 1.439 states/eV/atom. For the mass density, the calculation gives 5.3 g/cm3.

=====

7.
Entry from Alexandria: PmY8Tm6 after structural relaxation (PBE).

Unit cell a=8.9934 b=8.9934 c=20.6045 alpha=90.00 beta=90.00 gamma=120.00
Space group R-3 (No. 148, hexagonal axes)
Symmetry-distinct sites (fractional):
Pm: 0.0000 0.0000 0.0000 (multiplicity 3)
Y: 0.0000 0.0000 0.4232 (multiplicity 6)
Y: 0.0816 0.5551 0.8081 (multiplicity 18)
Tm: 0.0598 0.2452 0.7066 (multiplicity 18)

## Properties
Its relative energy among the computed polymorphs is 0 meV per atom. For the total energy, the calculation gives -243.59 eV for the cell shown. The density of states at the Fermi level comes out at 1.581 states/eV/atom. For the mass density, the calculation gives 6.5 g/cm3.

=====

8.
Entry from Alexandria: Pm2YTm7 after structural relaxation (PBE).

Unit cell a=6.418 b=28.545 c=3.499 alpha=90.00 beta=90.00 gamma=90.00
Space group Cmmm (No. 65)
Symmetry-distinct sites (fractional):
Pm: 0.000 0.209 0.000 (multiplicity 4)
Y: 0.000 0.500 0.500 (multiplicity 2)
Tm: 0.000 0.000 0.000 (multiplicity 2)
Tm: 0.000 0.316 0.500 (multiplicity 4)
Tm: 0.246 0.402 0.000 (multiplicity 8)

## Properties
Its relative energy among the computed polymorphs is 133 meV per atom. For the total energy, the calculation gives -91.38 eV for the cell shown. The density of states at the Fermi level comes out at 1.427 states/eV/atom. For the mass density, the calculation gives 8.1 g/cm3.

=====

9.
Entry from Alexandria: Pm3Y2Tm6 after structural relaxation (PBE).

Unit cell a=6.121 b=10.621 c=11.554 alpha=90.00 beta=100.29 gamma=90.00
Space group C2/m (No. 12)
Symmetry-distinct sites (fractional):
Pm: 0.000 0.000 0.000 (multiplicity 2)
Pm: 0.000 0.335 0.000 (multiplicity 4)
Y: 0.000 0.166 0.500 (multiplicity 4)
Tm: 0.249 0.000 0.748 (multiplicity 4)
Tm: 0.249 0.333 0.748 (multiplicity 8)

## Properties
Its relative energy among the computed polymorphs is 0 meV per atom. For the total energy, the calculation gives -103.50 eV for the cell shown. The density of states at the Fermi level comes out at 1.480 states/eV/atom. For the mass density, the calculation gives 7.3 g/cm3.

=====

10.
Entry from Alexandria: Pm3YTm2 after structural relaxation (PBE).

Unit cell a=6.215 b=3.595 c=17.553 alpha=90.00 beta=96.83 gamma=90.00
Space group P2_1/m (No. 11)
Symmetry-distinct sites (fractional):
Pm: 0.026 0.250 0.332 (multiplicity 2)
Pm: 0.139 0.750 0.165 (multiplicity 2)
Pm: 0.253 0.750 0.503 (multiplicity 2)
Y: 0.363 0.750 0.834 (multiplicity 2)
Tm: 0.251 0.250 0.000 (multiplicity 2)
Tm: 0.476 0.250 0.668 (multiplicity 2)

## Properties
Its relative energy among the computed polymorphs is 0 meV per atom. For the total energy, the calculation gives -59.19 eV for the cell shown. The density of states at the Fermi level comes out at 1.291 states/eV/atom. For the mass density, the calculation gives 7.3 g/cm3.

=====

11.
Entry from Alexandria: Pm5Y6Tm2 after structural relaxation (PBE).

Unit cell a=11.689 b=20.568 c=3.594 alpha=90.00 beta=90.00 gamma=90.00
Space group Pbam (No. 55)
Symmetry-distinct sites (fractional):
Pm: 0.000 0.000 0.000 (multiplicity 2)
Pm: 0.085 0.272 0.000 (multiplicity 4)
Pm: 0.199 0.550 0.000 (multiplicity 4)
Y: 0.059 0.418 0.500 (multiplicity 4)
Y: 0.082 0.131 0.500 (multiplicity 4)
Y: 0.174 0.861 0.000 (multiplicity 4)
Tm: 0.169 0.709 0.500 (multiplicity 4)

## Properties
For the total energy, the calculation gives -140.47 eV for the cell shown. The density of states at the Fermi level comes out at 1.272 states/eV/atom. For the mass density, the calculation gives 6.1 g/cm3.

=====

12.
Entry from Alexandria: Pm4Y3Tm4 after structural relaxation (PBE).

Unit cell a=3.584 b=5.578 c=18.245 alpha=98.78 beta=95.57 gamma=90.00
Space group P-1 (No. 2)
Symmetry-distinct sites (fractional):
Pm: 0.055 0.053 0.105 (multiplicity 2)
Pm: 0.179 0.678 0.355 (multiplicity 2)
Y: 0.352 0.854 0.708 (multiplicity 2)
Y: 0.500 0.500 0.000 (multiplicity 1)
Tm: 0.236 0.235 0.471 (multiplicity 2)
Tm: 0.405 0.407 0.815 (multiplicity 2)

## Properties
Its relative energy among the computed polymorphs is 0 meV per atom. For the total energy, the calculation gives -55.93 eV for the cell shown. The density of states at the Fermi level comes out at 1.570 states/eV/atom. For the mass density, the calculation gives 7.0 g/cm3.

=====

13.
Entry from Alexandria: PmY3Tm2 after structural relaxation (PBE).

Unit cell a=8.973 b=9.714 c=8.970 alpha=90.00 beta=102.73 gamma=90.00
Space group C2/c (No. 15)
Symmetry-distinct sites (fractional):
Pm: 0.000 0.069 0.250 (multiplicity 4)
Y: 0.000 0.402 0.250 (multiplicity 4)
Y: 0.243 0.417 0.992 (multiplicity 8)
Tm: 0.125 0.253 0.625 (multiplicity 8)

## Properties
Its relative energy among the computed polymorphs is 63 meV per atom. For the total energy, the calculation gives -130.71 eV for the cell shown. The density of states at the Fermi level comes out at 1.850 states/eV/atom. For the mass density, the calculation gives 6.5 g/cm3.

=====

14.
Entry from Alexandria: Pm3Y2Tm6 after structural relaxation (PBE).

Unit cell a=4.717 b=4.717 c=33.243 alpha=90.00 beta=90.00 gamma=90.00
Space group I4/mmm (No. 139)
Symmetry-distinct sites (fractional):
Pm: 0.000 0.000 0.000 (multiplicity 2)
Pm: 0.000 0.000 0.204 (multiplicity 4)
Y: 0.000 0.000 0.453 (multiplicity 4)
Tm: 0.000 0.000 0.307 (multiplicity 4)
Tm: 0.000 0.500 0.122 (multiplicity 8)

## Properties
Its relative energy among the computed polymorphs is 75 meV per atom. For the total energy, the calculation gives -101.85 eV for the cell shown. The density of states at the Fermi level comes out at 1.660 states/eV/atom. For the mass density, the calculation gives 7.3 g/cm3.

=====

15.
Entry from Alexandria: Pm2Y5Tm5 after structural relaxation (PBE).

Unit cell a=17.030 b=5.607 c=9.661 alpha=90.00 beta=124.52 gamma=90.00
Space group C2/m (No. 12)
Symmetry-distinct sites (fractional):
Pm: 0.124 0.000 0.294 (multiplicity 4)
Y: 0.000 0.000 0.500 (multiplicity 2)
Y: 0.125 0.000 0.961 (multiplicity 4)
Y: 0.250 0.000 0.753 (multiplicity 4)
Tm: 0.000 0.500 0.000 (multiplicity 2)
Tm: 0.124 0.500 0.456 (multiplicity 4)
Tm: 0.124 0.500 0.789 (multiplicity 4)

## Properties
Its relative energy among the computed polymorphs is 41 meV per atom. For the total energy, the calculation gives -126.77 eV for the cell shown. The density of states at the Fermi level comes out at 1.870 states/eV/atom. For the mass density, the calculation gives 6.9 g/cm3.

=====

16.
Entry from Alexandria: Pm3Y4Tm4 after structural relaxation (PBE).

Unit cell a=5.265 b=10.088 c=14.531 alpha=90.00 beta=90.00 gamma=90.00
Space group Immm (No. 71)
Symmetry-distinct sites (fractional):
Pm: 0.000 0.000 0.000 (multiplicity 2)
Pm: 0.000 0.500 0.116 (multiplicity 4)
Y: 0.000 0.333 0.325 (multiplicity 8)
Tm: 0.000 0.000 0.265 (multiplicity 4)
Tm: 0.000 0.149 0.500 (multiplicity 4)

## Properties
Its relative energy among the computed polymorphs is 306 meV per atom. For the total energy, the calculation gives -107.95 eV for the cell shown. The density of states at the Fermi level comes out at 1.540 states/eV/atom. For the mass density, the calculation gives 6.3 g/cm3.

=====

17.
Entry from Alexandria: Pm4Y2Tm3 after structural relaxation (PBE).

Unit cell a=9.791 b=16.935 c=7.033 alpha=90.00 beta=90.00 gamma=90.00
Space group Cccm (No. 66)
Symmetry-distinct sites (fractional):
Pm: 0.146 0.175 0.000 (multiplicity 8)
Pm: 0.165 0.482 0.000 (multiplicity 8)
Y: 0.190 0.159 0.500 (multiplicity 8)
Tm: 0.000 0.000 0.250 (multiplicity 4)
Tm: 0.000 0.330 0.250 (multiplicity 8)

## Properties
Its relative energy among the computed polymorphs is 0 meV per atom. For the total energy, the calculation gives -179.80 eV for the cell shown. The density of states at the Fermi level comes out at 1.269 states/eV/atom. For the mass density, the calculation gives 7.2 g/cm3.

=====

18.
Entry from Alexandria: Pm2Y7Tm after structural relaxation (PBE).

Unit cell a=5.684 b=8.176 c=8.472 alpha=113.33 beta=101.83 gamma=100.48
Space group P-1 (No. 2)
Symmetry-distinct sites (fractional):
Pm: 0.084 0.218 0.223 (multiplicity 2)
Y: 0.000 0.500 0.000 (multiplicity 1)
Y: 0.317 0.480 0.720 (multiplicity 2)
Y: 0.342 0.735 0.479 (multiplicity 2)
Y: 0.486 0.132 0.879 (multiplicity 2)
Tm: 0.000 0.000 0.500 (multiplicity 1)

## Properties
Its relative energy among the computed polymorphs is 46 meV per atom. For the total energy, the calculation gives -57.16 eV for the cell shown. The density of states at the Fermi level comes out at 1.678 states/eV/atom. For the mass density, the calculation gives 5.3 g/cm3.

=====

19.
Entry from Alexandria: Pm3Y2Tm5 after structural relaxation (PBE).

Unit cell a=10.646 b=15.687 c=9.447 alpha=90.00 beta=124.20 gamma=90.00
Space group C2/c (No. 15)
Symmetry-distinct sites (fractional):
Pm: 0.000 0.232 0.250 (multiplicity 4)
Pm: 0.148 0.123 0.048 (multiplicity 8)
Y: 0.150 0.381 0.548 (multiplicity 8)
Tm: 0.000 0.025 0.250 (multiplicity 4)
Tm: 0.000 0.270 0.750 (multiplicity 4)
Tm: 0.000 0.472 0.750 (multiplicity 4)
Tm: 0.246 0.385 0.241 (multiplicity 8)

## Properties
For the total energy, the calculation gives -190.27 eV for the cell shown. The density of states at the Fermi level comes out at 1.776 states/eV/atom. For the mass density, the calculation gives 7.4 g/cm3.